Entry from Alexandria via LeMat-Bulk: crystalline TaTi2OsPt at its relaxed geometry (GGA-PBEsol).

Lattice parameters (Å, degrees): 4.553 4.553 4.663 90.00 90.00 90.00
Atoms (fractional coordinates):
Ta  0.000  0.000  0.000
Ti  0.000  0.500  0.000
Ti  0.500  0.000  0.000
Os  0.500  0.500  0.500
Pt  0.000  0.000  0.500

Energy of formation   1629 meV/atom
SG   P4/mmm
Total DFT energy (no corrections)   -8.046 eV/atom
Calculated volume   97 Å³ per cell